Below is CaY4Hg5 after structural relaxation, with properties calculated at the GGA-PBE level.

abc: 3.733 3.733 18.767
angles: 90.00 90.00 90.00
Fractional positions:
Ca 0.000 0.000 0.000
Y 0.000 0.000 0.202
Y 0.000 0.000 0.401
Y 0.000 0.000 0.599
Y 0.000 0.000 0.798
Hg 0.500 0.500 0.107
Hg 0.500 0.500 0.302
Hg 0.500 0.500 0.500
Hg 0.500 0.500 0.698
Hg 0.500 0.500 0.893

Values from the calculation:
Formation energy   -0.525 eV/atom
Density   8.88 g cm⁻³